Record 1
Cs2LiRhCl6 | the Alexandria database | PBE | optimized geometry; total magnetization = 0.00 μB/f.u.; formation energy without anion corrections = -1.434 eV/atom; total energy = -3.6389 eV per atom; relative energy among the computed polymorphs = 0.0000 eV per atom
1.0
3.6436 2.1036 12.0434
-3.6436 2.1036 12.0434
0.0000 -4.2073 12.0434
Cs Li Rh Cl
4 2 2 12
Direct
0.1225 0.1225 0.1225
0.2920 0.2920 0.2920
0.7080 0.7080 0.7080
0.8775 0.8775 0.8775
0.0000 0.0000 0.0000
0.5000 0.5000 0.5000
0.4141 0.4141 0.4141
0.5859 0.5859 0.5859
0.1517 0.6039 0.6039
0.2194 0.2194 0.6899
0.2194 0.6899 0.2194
0.3101 0.7806 0.7806
0.3961 0.3961 0.8483
0.3961 0.8483 0.3961
0.6039 0.1517 0.6039
0.6039 0.6039 0.1517
0.6899 0.2194 0.2194
0.7806 0.3101 0.7806
0.7806 0.7806 0.3101
0.8483 0.3961 0.3961



Record 2
FeMo2Ir | the Alexandria database | PBE | optimized geometry; total magnetization = 0.78 μB/f.u.; total energy = -9.8200 eV per atom; relative energy among the computed polymorphs = 0.0003 eV per atom
1.0
-1.9161 1.9161 3.8809
1.9161 -1.9161 3.8809
1.9161 1.9161 -3.8809
Fe Mo Ir
1 2 1
Direct
0.0000 0.0000 0.0000
0.2500 0.7500 0.5000
0.7500 0.2500 0.5000
0.5000 0.5000 0.0000



Record 3
HoThMnCu | the Alexandria database | PBE | optimized geometry; total magnetization = 1.92 μB/f.u.; total energy = -6.2727 eV per atom
1.0
0.0000 3.5090 3.5090
3.5090 0.0000 3.5090
3.5090 3.5090 0.0000
Ho Th Mn Cu
1 1 1 1
Direct
0.0000 0.0000 0.0000
0.5000 0.5000 0.5000
0.2500 0.2500 0.2500
0.7500 0.7500 0.7500



Record 4
KZn2Co | the Alexandria database | PBE | optimized geometry; total magnetization = 1.10 μB/f.u.; total energy = -2.2183 eV per atom; relative energy among the computed polymorphs = 0.1904 eV per atom
1.0
1.4557 0.8405 9.7837
-1.4557 0.8405 9.7837
0.0000 -1.6809 9.7837
K Zn Co
1 2 1
Direct
0.0000 0.0000 0.0000
0.2320 0.2320 0.2320
0.7680 0.7680 0.7680
0.5000 0.5000 0.5000



Record 5
Dy3TeRhCl | the Alexandria database | PBE | optimized geometry; total magnetization = 0.00 μB/f.u.; formation energy without anion corrections = -1.140 eV/atom; total energy = -5.4975 eV per atom
1.0
8.4421 0.0000 0.0000
0.0000 4.1216 0.0000
-0.9473 0.0000 9.7106
Dy Te Rh Cl
6 2 2 2
Direct
0.1307 0.2500 0.3226
0.1474 0.2500 0.8991
0.3018 0.7500 0.6201
0.6982 0.2500 0.3799
0.8526 0.7500 0.1009
0.8693 0.7500 0.6774
0.4098 0.7500 0.3192
0.5902 0.2500 0.6808
0.0698 0.2500 0.6115
0.9302 0.7500 0.3885
0.3537 0.7500 0.9166
0.6463 0.2500 0.0834



Record 6
CuIr2Se | the Alexandria database | PBE | optimized geometry; total magnetization = 0.00 μB/f.u.; formation energy without anion corrections = 0.517 eV/atom; total energy = -5.8087 eV per atom
1.0
-1.9933 1.9933 3.7542
1.9933 -1.9933 3.7542
1.9933 1.9933 -3.7542
Cu Ir Se
1 2 1
Direct
0.0000 0.0000 0.0000
0.2500 0.7500 0.5000
0.5000 0.5000 0.0000
0.7500 0.2500 0.5000



Record 7
K2TbAs2O6 | the Alexandria database | PBE | optimized geometry; total magnetization = 1.02 μB/f.u.; formation energy without anion corrections = -1.930 eV/atom; total energy = -6.1008 eV per atom
1.0
4.9531 -3.0022 0.0000
4.9531 3.0022 0.0000
-3.1737 0.0000 6.5010
K Tb As O
2 1 2 6
Direct
0.2084 0.2084 0.1758
0.7916 0.7916 0.8242
0.0000 0.0000 0.5000
0.4351 0.4351 0.7805
0.5649 0.5649 0.2195
0.2357 0.7058 0.2541
0.2499 0.2499 0.5847
0.2942 0.7643 0.7459
0.7058 0.2357 0.2541
0.7501 0.7501 0.4153
0.7643 0.2942 0.7459



Record 8
ZrTl2Pb | the Alexandria database | PBE | optimized geometry; total magnetization = 0.00 μB/f.u.; total energy = -4.1842 eV per atom; relative energy among the computed polymorphs = 0.0355 eV per atom
1.0
1.6900 0.9757 11.1486
-1.6900 0.9757 11.1486
0.0000 -1.9515 11.1486
Zr Tl Pb
1 2 1
Direct
0.0000 0.0000 0.0000
0.2583 0.2583 0.2583
0.5059 0.5059 0.5059
0.7450 0.7450 0.7450



Record 9
La5Tb4Mg2 | the Alexandria database | PBE | optimized geometry; total magnetization = 0.00 μB/f.u.; total energy = -4.1946 eV per atom
1.0
9.2177 0.0000 0.0000
0.0000 21.5649 0.0000
0.0000 0.0000 3.6999
La Tb Mg
10 8 4
Direct
0.0000 0.0000 0.0000
0.1279 0.4359 0.0000
0.2501 0.2183 0.0000
0.2499 0.7183 0.0000
0.3721 0.9359 0.0000
0.5000 0.5000 0.0000
0.6279 0.0641 0.0000
0.7501 0.2817 0.0000
0.7499 0.7817 0.0000
0.8721 0.5641 0.0000
0.0681 0.8512 0.5000
0.2190 0.5773 0.5000
0.2810 0.0773 0.5000
0.4319 0.3512 0.5000
0.5681 0.6488 0.5000
0.7190 0.9227 0.5000
0.7810 0.4227 0.5000
0.9319 0.1488 0.5000
0.0448 0.3106 0.5000
0.4552 0.8106 0.5000
0.5448 0.1894 0.5000
0.9552 0.6894 0.5000



Record 10
PrYSi | the Alexandria database | PBE | optimized geometry; total magnetization = 1.00 μB/f.u.; formation energy without anion corrections = -0.493 eV/atom; total energy = -6.0483 eV per atom; relative energy among the computed polymorphs = 0.0005 eV per atom
1.0
4.4856 0.0000 0.0000
0.0000 4.4856 0.0000
0.0000 0.0000 8.1335
Pr Y Si
2 2 2
Direct
0.2500 0.2500 0.1393
0.7500 0.7500 0.8607
0.2500 0.7500 0.5000
0.7500 0.2500 0.5000
0.2500 0.2500 0.7532
0.7500 0.7500 0.2468



Record 11
NaNbH2 | the Alexandria database | PBE | optimized geometry; total magnetization = 0.00 μB/f.u.; total energy = -4.3597 eV per atom; relative energy among the computed polymorphs = 0.2077 eV per atom
1.0
-2.6405 2.6405 3.4675
2.6405 -2.6405 3.4675
2.6405 2.6405 -3.4675
Na Nb H
2 2 4
Direct
0.0000 0.0000 0.0000
0.7500 0.2500 0.5000
0.2500 0.7500 0.5000
0.5000 0.5000 0.0000
0.1769 0.6250 0.0519
0.3750 0.4269 0.5519
0.5731 0.1250 0.9481
0.8750 0.8231 0.4481



Record 12
La3Nd3Th2 | the Alexandria database | PBE | optimized geometry; total magnetization = 0.00 μB/f.u.; total energy = -5.4538 eV per atom
1.0
-2.5595 2.5702 10.6345
2.5595 -2.5702 10.6345
2.5595 2.5702 -10.6345
La Nd Th
3 3 2
Direct
0.0000 0.0000 0.0000
0.3682 0.8682 0.5000
0.6318 0.1318 0.5000
0.1315 0.6315 0.5000
0.5000 0.5000 0.0000
0.8685 0.3685 0.5000
0.2500 0.2500 0.0000
0.7500 0.7500 0.0000



Per-record density, g cm⁻³: 3.528, 12.818, 9.905, 5.291, 7.406, 14.665, 4.148, 10.646, 6.226, 5.234, 4.049, 7.795